The following is a PBE calculation of a relaxed structure of Ce2Y3Te6, from Alexandria.

The structure belongs to space group C2/m (No. 12); the cell edges are 7.593, 13.142 and 7.686 Å and the angles 90.00°, 109.37° and 90.00°. The inequivalent atoms are Ce at (0.000, 0.165, 0.000), Y at (0.000, 0.000, 0.500), Y at (0.000, 0.330, 0.500), Te at (0.238, 0.500, 0.744) and Te at (0.245, 0.338, 0.252).

For the density of states at the Fermi level, the calculation gives 1.6402 states/eV per atom. As for the formation energy (no corrections): -1.4083 eV per atom.

The following is a PBE calculation of a relaxed structure of Ce3YTe4, from Alexandria.

The structure belongs to space group Cmmm (No. 65); the cell edges are 9.004, 12.610 and 4.415 Å and the angles 90.00°, 90.00° and 90.00°. The inequivalent atoms are Ce at (0.000, 0.000, 0.000), Ce at (0.250, 0.250, 0.500), Y at (0.000, 0.500, 0.000), Te at (0.000, 0.254, 0.000) and Te at (0.243, 0.500, 0.500).

For the density of states at the Fermi level, the calculation gives 2.6897 states/eV per atom. As for the formation energy (no corrections): -1.3571 eV per atom.

The following is a PBE calculation of a relaxed structure of Ce5YTe8, from Alexandria.

The structure belongs to space group I-4 (No. 82); the cell edges are 9.473, 9.473 and 9.547 Å and the angles 90.00°, 90.00° and 90.00°. The inequivalent atoms are Ce at (0.000, 0.000, 0.000), Ce at (0.124, 0.250, 0.375), Y at (0.000, 0.500, 0.750), Te at (0.074, 0.179, 0.703) and Te at (0.077, 0.327, 0.047).

For the density of states at the Fermi level, the calculation gives 2.4751 states/eV per atom. As for the formation energy (no corrections): -1.3823 eV per atom.

The following is a PBE calculation of a relaxed structure of CeYTe3, from Alexandria.

The structure belongs to space group P2_1/c (No. 14); the cell edges are 10.073, 8.547 and 9.722 Å and the angles 90.00°, 116.40° and 90.00°. The inequivalent atoms are Ce at (0.104, 0.216, 0.049), Y at (0.308, 0.618, 0.921), Te at (0.012, 0.003, 0.707), Te at (0.248, 0.630, 0.600) and Te at (0.369, 0.225, 0.442).

For the density of states at the Fermi level, the calculation gives 1.4151 states/eV per atom. As for the formation energy (no corrections): -1.2720 eV per atom. Its energy above the most stable polymorph in this dataset is 0.1175 eV/atom.

The following is a PBE calculation of a relaxed structure of CeY2Te4, from Alexandria.

The structure belongs to space group Imma (No. 74); the cell edges are 8.787, 8.909 and 12.336 Å and the angles 90.00°, 90.00° and 90.00°. The inequivalent atoms are Ce at (0.000, 0.000, 0.000), Y at (0.000, 0.000, 0.500), Y at (0.250, 0.250, 0.250), Te at (0.000, 0.003, 0.253) and Te at (0.243, 0.250, 0.505).

For the density of states at the Fermi level, the calculation gives 1.2384 states/eV per atom. As for the formation energy (no corrections): -1.4181 eV per atom. Its energy above the most stable polymorph in this dataset is 0.0000 eV/atom.

The following is a PBE calculation of a relaxed structure of CeY4Te6, from Alexandria.

The structure belongs to space group Cmcm (No. 63); the cell edges are 4.331, 14.321 and 22.303 Å and the angles 90.00°, 90.00° and 90.00°. The inequivalent atoms are Ce at (0.000, 0.155, 0.250), Y at (0.000, 0.089, 0.625), Y at (0.000, 0.356, 0.536), Te at (0.000, 0.000, 0.000), Te at (0.000, 0.180, 0.750), Te at (0.000, 0.267, 0.093) and Te at (0.000, 0.449, 0.663).

For the density of states at the Fermi level, the calculation gives 0.9743 states/eV per atom. As for the formation energy (no corrections): -1.3796 eV per atom.

The following is a PBE calculation of a relaxed structure of CeY2Te3, from Alexandria.

The structure belongs to space group Cmmm (No. 65); the cell edges are 6.234, 18.710 and 6.229 Å and the angles 90.00°, 90.00° and 90.00°. The inequivalent atoms are Ce at (0.000, 0.169, 0.000), Y at (0.000, 0.000, 0.500), Y at (0.000, 0.331, 0.500), Y at (0.000, 0.500, 0.000), Te at (0.000, 0.000, 0.000), Te at (0.000, 0.165, 0.500), Te at (0.000, 0.337, 0.000) and Te at (0.000, 0.500, 0.500).

For the density of states at the Fermi level, the calculation gives 1.3973 states/eV per atom. As for the formation energy (no corrections): -1.3296 eV per atom. Its energy above the most stable polymorph in this dataset is 0.0055 eV/atom.

The following is a PBE calculation of a relaxed structure of CeYTe3, from Alexandria.

The structure belongs to space group Pnma (No. 62); the cell edges are 8.310, 4.422 and 17.302 Å and the angles 90.00°, 90.00° and 90.00°. The inequivalent atoms are Ce at (0.133, 0.250, 0.201), Y at (0.230, 0.750, 0.457), Te at (0.005, 0.250, 0.393), Te at (0.120, 0.750, 0.064) and Te at (0.155, 0.250, 0.783).

For the density of states at the Fermi level, the calculation gives 1.3345 states/eV per atom. As for the formation energy (no corrections): -1.3896 eV per atom. Its energy above the most stable polymorph in this dataset is 0.0000 eV/atom.

The following is a PBE calculation of a relaxed structure of CeY2Te4, from Alexandria.

The structure belongs to space group Cmcm (No. 63); the cell edges are 4.337, 14.364 and 14.992 Å and the angles 90.00°, 90.00° and 90.00°. The inequivalent atoms are Ce at (0.000, 0.121, 0.250), Y at (0.000, 0.368, 0.066), Te at (0.000, 0.000, 0.000), Te at (0.000, 0.275, 0.621) and Te at (0.000, 0.457, 0.250).

For the density of states at the Fermi level, the calculation gives 1.1658 states/eV per atom. As for the formation energy (no corrections): -1.3887 eV per atom. Its energy above the most stable polymorph in this dataset is 0.0294 eV/atom.

The following is a PBE calculation of a relaxed structure of CeY2Te3, from Alexandria.

The structure belongs to space group Immm (No. 71); the cell edges are 4.368, 6.241 and 13.327 Å and the angles 90.00°, 90.00° and 90.00°. The inequivalent atoms are Ce at (0.000, 0.000, 0.000), Y at (0.000, 0.000, 0.336), Te at (0.000, 0.500, 0.000) and Te at (0.000, 0.500, 0.327).

For the density of states at the Fermi level, the calculation gives 1.4113 states/eV per atom. As for the formation energy (no corrections): -1.3350 eV per atom. Its energy above the most stable polymorph in this dataset is 0.0000 eV/atom.

The following is a PBE calculation of a relaxed structure of CeY5Te6, from Alexandria.

The structure belongs to space group C2/m (No. 12); the cell edges are 7.565, 13.173 and 7.628 Å and the angles 90.00°, 109.54° and 90.00°. The inequivalent atoms are Ce at (0.000, 0.000, 0.000), Y at (0.000, 0.164, 0.500), Y at (0.000, 0.332, 0.000), Y at (0.000, 0.500, 0.500), Te at (0.243, 0.500, 0.251) and Te at (0.245, 0.331, 0.745).

For the density of states at the Fermi level, the calculation gives 1.0929 states/eV per atom. As for the formation energy (no corrections): -1.3228 eV per atom.

The following is a PBE calculation of a relaxed structure of CeY3Te6, from Alexandria.

The structure belongs to space group P2_1/m (No. 11); the cell edges are 12.530, 4.394 and 12.866 Å and the angles 90.00°, 109.27° and 90.00°. The inequivalent atoms are Ce at (0.047, 0.250, 0.197), Y at (0.155, 0.250, 0.582), Y at (0.318, 0.750, 0.999), Y at (0.435, 0.250, 0.335), Te at (0.085, 0.750, 0.403), Te at (0.116, 0.250, 0.967), Te at (0.195, 0.750, 0.751), Te at (0.257, 0.750, 0.223), Te at (0.391, 0.250, 0.560) and Te at (0.484, 0.250, 0.118).

For the density of states at the Fermi level, the calculation gives 0.7318 states/eV per atom. As for the formation energy (no corrections): -1.3996 eV per atom.

The following is a PBE calculation of a relaxed structure of Ce2YTe5, from Alexandria.

The structure belongs to space group P4/mmm (No. 123); the cell edges are 7.495, 7.495 and 5.364 Å and the angles 90.00°, 90.00° and 90.00°. The inequivalent atoms are Ce at (0.000, 0.500, 0.000), Y at (0.000, 0.000, 0.500), Te at (0.000, 0.000, 0.000) and Te at (0.280, 0.280, 0.500).

For the density of states at the Fermi level, the calculation gives 2.4042 states/eV per atom. As for the formation energy (no corrections): -0.6761 eV per atom.

The following is a PBE calculation of a relaxed structure of Ce3Y4Te8, from Alexandria.

The structure belongs to space group C2/m (No. 12); the cell edges are 12.470, 12.488 and 8.799 Å and the angles 90.00°, 134.80° and 90.00°. The inequivalent atoms are Ce at (0.000, 0.000, 0.000), Ce at (0.250, 0.250, 0.000), Y at (0.000, 0.500, 0.000), Y at (0.000, 0.500, 0.500), Y at (0.250, 0.250, 0.500), Te at (0.000, 0.248, 0.500), Te at (0.000, 0.253, 0.000), Te at (0.248, 0.500, 0.003) and Te at (0.250, 0.000, 0.507).

For the density of states at the Fermi level, the calculation gives 1.5925 states/eV per atom. As for the formation energy (no corrections): -1.3893 eV per atom.

The following is a PBE calculation of a relaxed structure of Ce5Y3Te8, from Alexandria.

The structure belongs to space group R-3m (No. 166, hexagonal axes); the cell edges are 8.8742, 8.8742 and 21.8174 Å and the angles 90.00°, 90.00° and 120.00°. The inequivalent atoms are Ce at (0.0000, 0.0000, 0.0000), Ce at (0.0000, 0.0000, 0.5000), Ce at (0.0000, 0.5000, 0.0000), Y at (0.0000, 0.5000, 0.5000), Te at (0.0000, 0.0000, 0.2466) and Te at (0.0048, 0.5024, 0.7524).

For the density of states at the Fermi level, the calculation gives 2.3245 states/eV per atom. As for the formation energy (no corrections): -1.3527 eV per atom.

The following is a PBE calculation of a relaxed structure of Ce3Y5Te8, from Alexandria.

The structure belongs to space group R-3m (No. 166, hexagonal axes); the cell edges are 8.7936, 8.7936 and 21.7775 Å and the angles 90.00°, 90.00° and 120.00°. The inequivalent atoms are Ce at (0.0000, 0.5000, 0.0000), Y at (0.0000, 0.0000, 0.0000), Y at (0.0000, 0.0000, 0.5000), Y at (0.0000, 0.5000, 0.5000), Te at (0.0000, 0.0000, 0.2466) and Te at (0.0044, 0.5022, 0.7523).

For the density of states at the Fermi level, the calculation gives 1.6158 states/eV per atom. As for the formation energy (no corrections): -1.3392 eV per atom.

The following is a PBE calculation of a relaxed structure of Ce2YTe4, from Alexandria.

The structure belongs to space group Imma (No. 74); the cell edges are 8.863, 8.900 and 12.407 Å and the angles 90.00°, 90.00° and 90.00°. The inequivalent atoms are Ce at (0.000, 0.000, 0.000), Ce at (0.250, 0.250, 0.250), Y at (0.250, 0.250, 0.750), Te at (0.000, 0.007, 0.740) and Te at (0.244, 0.250, 0.503).

For the density of states at the Fermi level, the calculation gives 2.2738 states/eV per atom. As for the formation energy (no corrections): -1.3627 eV per atom. Its energy above the most stable polymorph in this dataset is 0.0000 eV/atom.

The following is a PBE calculation of a relaxed structure of Ce4YTe5, from Alexandria.

The structure belongs to space group I4/mmm (No. 139); the cell edges are 4.464, 4.464 and 31.499 Å and the angles 90.00°, 90.00° and 90.00°. The inequivalent atoms are Ce at (0.000, 0.000, 0.100), Ce at (0.000, 0.000, 0.301), Y at (0.000, 0.000, 0.500), Te at (0.000, 0.000, 0.000), Te at (0.000, 0.000, 0.201) and Te at (0.000, 0.000, 0.402).

For the density of states at the Fermi level, the calculation gives 2.9739 states/eV per atom. As for the formation energy (no corrections): -1.3520 eV per atom.

The following is a PBE calculation of a relaxed structure of Ce2YTe4, from Alexandria.

The structure belongs to space group Cmcm (No. 63); the cell edges are 4.284, 14.792 and 15.325 Å and the angles 90.00°, 90.00° and 90.00°. The inequivalent atoms are Ce at (0.000, 0.135, 0.070), Y at (0.000, 0.377, 0.250), Te at (0.000, 0.029, 0.250), Te at (0.000, 0.217, 0.627) and Te at (0.000, 0.500, 0.000).

For the density of states at the Fermi level, the calculation gives 2.1797 states/eV per atom. As for the formation energy (no corrections): -1.3080 eV per atom. Its energy above the most stable polymorph in this dataset is 0.0546 eV/atom.